--- P ---
Ac3HgOs after structural relaxation, computed with PBE.

The space group is Pnma (No. 62) and the conventional cell measures 9.6145, 4.5377 and 16.0973 Å, with angles of 90.00, 90.00 and 90.00 degrees. The distinct sites, in fractional coordinates, are Ac at (0.9998, 0.2500, 0.1052), Ac at (0.1584, 0.2500, 0.5235), Ac at (0.1732, 0.7500, 0.2995), Hg at (0.1142, 0.7500, 0.6851) and Os at (0.1891, 0.2500, 0.9530).

---

--- Q ---
Ac3HgOs after structural relaxation, computed with PBE.

The space group is Pm-3m (No. 221) and the conventional cell measures 5.7936, 5.7936 and 5.7936 Å, with angles of 90.00, 90.00 and 90.00 degrees. The distinct sites, in fractional coordinates, are Ac at (0.0000, 0.0000, 0.5000), Hg at (0.5000, 0.5000, 0.5000) and Os at (0.0000, 0.0000, 0.0000).

---

Preferred: P; penalty for the next structure: 15.6 kJ/mol of atoms.

---

--- P ---
Ac2HgP after structural relaxation, computed with PBE.

The space group is P4/mmm (No. 123) and the conventional cell measures 3.8923, 3.8923 and 7.8122 Å, with angles of 90.00, 90.00 and 90.00 degrees. The distinct sites, in fractional coordinates, are Ac at (0.0000, 0.0000, 0.2218), Hg at (0.5000, 0.5000, 0.5000) and P at (0.5000, 0.5000, 0.0000).

---

--- Q ---
Ac2HgP after structural relaxation, computed with PBE.

The space group is Fm-3m (No. 225) and the conventional cell measures 7.8183, 7.8183 and 7.8183 Å, with angles of 90.00, 90.00 and 90.00 degrees. The distinct sites, in fractional coordinates, are Ac at (0.2500, 0.2500, 0.2500), Hg at (0.0000, 0.0000, 0.0000) and P at (0.0000, 0.0000, 0.5000).

---

Preferred: P; penalty for the next structure: 16.4 kJ/mol of atoms.

---

--- P ---
Ac2HgP after structural relaxation, computed with PBE.

The space group is R-3m (No. 166, hexagonal axes) and the conventional cell measures 4.3689, 4.3689 and 24.6771 Å, with angles of 90.00, 90.00 and 120.00 degrees. The distinct sites, in fractional coordinates, are Ac at (0.0000, 0.0000, 0.2383), Hg at (0.0000, 0.0000, 0.0000) and P at (0.0000, 0.0000, 0.5000).

---

--- Q ---
Ac2HgP after structural relaxation, computed with PBE.

The space group is R3m (No. 160, hexagonal axes) and the conventional cell measures 4.3172, 4.3172 and 25.0779 Å, with angles of 90.00, 90.00 and 120.00 degrees. The distinct sites, in fractional coordinates, are Ac at (0.0000, 0.0000, 0.0000), Ac at (0.0000, 0.0000, 0.1916), Hg at (0.0000, 0.0000, 0.7630) and P at (0.0000, 0.0000, 0.5954).

---

Preferred: P; penalty for the next structure: 0.8 kJ/mol of atoms.